The following is a DFT calculation (PBE) of crystalline La2NiSb3Rh4 at its relaxed geometry.

a b c (Å): 4.3851 4.3851 10.8752
angles (deg): 90.00 90.00 90.00
Each line ends with the local moment (μB).
Fractional positions:
Sb (0.0000, 0.5000, 0.1359)  0.00
Sb (0.5000, 0.0000, 0.8641)  0.00
Rh (0.5000, 0.0000, 0.6275)  0.06
La (0.0000, 0.5000, 0.7336)  0.00
Ni (0.5000, 0.5000, 0.5000)  0.29
Rh (0.0000, 0.5000, 0.3725)  0.06
Sb (0.0000, 0.0000, 0.5000)  0.01
Rh (0.5000, 0.5000, 0.0000)  -0.01
La (0.5000, 0.0000, 0.2664)  0.00
Rh (0.0000, 0.0000, 0.0000)  -0.01

The following is a DFT calculation (PBE) of crystalline Mg2CdTc at its relaxed geometry.

a b c (Å): 2.8688 2.8688 9.5118
angles (deg): 90.00 90.00 106.46
Each line ends with the local moment (μB).
Fractional positions:
Mg (0.0000, 0.0000, 0.9981)  0.00
Cd (0.5000, 0.5000, 0.7346)  0.00
Mg (0.5000, 0.5000, 0.2726)  0.00
Tc (0.0000, 0.0000, 0.4948)  0.19

Output
- ΔH_f (0 K): 0.262 eV per atom

The following is a DFT calculation (PBE) of crystalline NbPbI2O at its relaxed geometry.

a b c (Å): 6.1413 6.1413 4.1834
angles (deg): 90.00 90.00 90.00
Each line ends with the local moment (μB).
Fractional positions:
I (0.5000, 0.0000, 0.0000)  -0.04
Nb (0.5000, 0.5000, 0.5000)  2.95
I (0.0000, 0.5000, 0.0000)  -0.04
Pb (0.0000, 0.0000, 0.0000)  0.00
O (0.0000, 0.0000, 0.5000)  0.01

The following is a DFT calculation (PBE) of crystalline YCd3Fe at its relaxed geometry.

a b c (Å): 4.9545 4.9545 4.9545
angles (deg): 90.00 90.00 90.00
Each line ends with the local moment (μB).
Fractional positions:
Cd (0.0000, 0.5000, 0.0000)  -0.04
Cd (0.0000, 0.0000, 0.5000)  -0.02
Fe (0.0000, 0.0000, 0.0000)  2.22
Cd (0.5000, 0.0000, 0.0000)  -0.06
Y (0.5000, 0.5000, 0.5000)  -0.18

Output
- ΔH_f (0 K): 0.262 eV per atom

The following is a DFT calculation (PBE) of crystalline NaPm4In3 at its relaxed geometry.

a b c (Å): 5.3773 5.3772 8.9024
angles (deg): 107.59 107.59 90.00
Fractional positions:
In (0.7470, 0.2471, 0.4940)
Pm (0.1286, 0.1285, 0.2573)
Pm (0.6286, 0.6286, 0.2573)
Na (0.5000, 0.0000, 0.0000)
Pm (0.3714, 0.3714, 0.7427)
Pm (0.8714, 0.8715, 0.7427)
In (0.0000, 0.5000, 0.0000)
In (0.2530, 0.7529, 0.5060)

Output
- ΔH_f (0 K): -0.340 eV per atom

The following is a DFT calculation (PBE) of crystalline ZnCd2P at its relaxed geometry.

a b c (Å): 6.0577 6.0577 5.3956
angles (deg): 63.54 63.54 26.66
Fractional positions:
Cd (0.7640, 0.7640, 0.7358)
P (0.5243, 0.5243, 0.4761)
Cd (0.9828, 0.9828, 0.0176)
Zn (0.2289, 0.2289, 0.2705)

Output
- ΔH_f (0 K): 0.205 eV per atom

no.,spin magnetization (μB/atom),total energy (eV/f.u.)
1,0.0403,-64.94
2,0.0559,-13.42
3,0.7595,-19.37
4,0.3174,-16.36
5,0.0000,-31.25
6,0.0000,-7.69